[1]
Compound: PaIn2Au
Source: Alexandria
Functional: GGA-PBE
Structure: relaxed Values from VASP.

## Properties
* energy of formation: -5.84 kcal/mol of atoms
* total DFT energy (no corrections): -38.53 eV/cell
* magnetic moment: 0.000 μB/atom
* energy above the most stable polymorph in this dataset: 0 meV per atom

Geometry as Quantum ESPRESSO input:
```
&SYSTEM
  ibrav = 0, nat = 8, ntyp = 3
/
ATOMIC_SPECIES
Pa 231.04 Pa.upf
In 114.82 In.upf
Au 196.97 Au.upf
CELL_PARAMETERS angstrom
-2.3878 2.3878 8.2986
2.3878 -2.3878 8.2986
2.3878 2.3878 -8.2986
ATOMIC_POSITIONS crystal
Pa 0.1372 0.1372 0.0000
Pa 0.8628 0.8628 0.0000
In 0.0000 0.5000 0.5000
In 0.3633 0.3633 0.0000
In 0.5000 0.0000 0.5000
In 0.6367 0.6367 0.0000
Au 0.2500 0.7500 0.5000
Au 0.7500 0.2500 0.5000
```

---

[2]
Compound: PaIn2Au
Source: Alexandria
Functional: GGA-PBE
Structure: relaxed Values from VASP.

## Properties
* energy of formation: 3.92 kcal/mol of atoms
* total DFT energy (no corrections): -17.57 eV/cell
* magnetic moment: 0.052 μB/atom
* energy above the most stable polymorph in this dataset: 423 meV per atom

Geometry as Quantum ESPRESSO input:
```
&SYSTEM
  ibrav = 0, nat = 4, ntyp = 3
/
ATOMIC_SPECIES
Pa 231.04 Pa.upf
In 114.82 In.upf
Au 196.97 Au.upf
CELL_PARAMETERS angstrom
1.6041 0.9261 11.0376
-1.6041 0.9261 11.0376
0.0000 -1.8523 11.0376
ATOMIC_POSITIONS crystal
Pa 0.0000 0.0000 0.0000
In 0.0970 0.0970 0.0970
In 0.9030 0.9030 0.9030
Au 0.5000 0.5000 0.5000
```

---

[3]
Compound: Pa2In8Au
Source: Alexandria
Functional: GGA-PBE
Structure: relaxed Values from VASP.

## Properties
* energy of formation: -3.18 kcal/mol of atoms
* total DFT energy (no corrections): -45.69 eV/cell
* magnetic moment: 0.003 μB/atom

Geometry as Quantum ESPRESSO input:
```
&SYSTEM
  ibrav = 0, nat = 11, ntyp = 3
/
ATOMIC_SPECIES
Pa 231.04 Pa.upf
In 114.82 In.upf
Au 196.97 Au.upf
CELL_PARAMETERS angstrom
4.7254 0.0000 0.0000
0.0000 4.7254 0.0000
0.0000 0.0000 12.2209
ATOMIC_POSITIONS crystal
Pa 0.0000 0.0000 0.1849
Pa 0.0000 0.0000 0.8151
In 0.0000 0.5000 0.0000
In 0.0000 0.5000 0.3675
In 0.0000 0.5000 0.6325
In 0.5000 0.0000 0.0000
In 0.5000 0.0000 0.3675
In 0.5000 0.0000 0.6325
In 0.5000 0.5000 0.1837
In 0.5000 0.5000 0.8163
Au 0.0000 0.0000 0.5000
```

---

[4]
Compound: PaInAu
Source: Alexandria
Functional: GGA-PBE
Structure: relaxed Values from VASP.

## Properties
* energy of formation: -4.04 kcal/mol of atoms
* total DFT energy (no corrections): -16.04 eV/cell
* magnetic moment: 0.380 μB/atom

Geometry as Quantum ESPRESSO input:
```
&SYSTEM
  ibrav = 0, nat = 3, ntyp = 3
/
ATOMIC_SPECIES
Pa 231.04 Pa.upf
In 114.82 In.upf
Au 196.97 Au.upf
CELL_PARAMETERS angstrom
-1.6664 1.6664 6.2015
1.6664 -1.6664 6.2015
1.6664 1.6664 -6.2015
ATOMIC_POSITIONS crystal
Pa 0.0000 0.0000 0.0000
In 0.3110 0.3110 0.0000
Au 0.6624 0.6624 0.0000
```

---

Question: Which value of total DFT energy (no corrections) does entry 1 give?
Answer: -38.53 eV/cell

---

Question: The highest total DFT energy (no corrections) belongs to which entry?
Answer: PaInAu